The following is a PBE-GGA calculation of a geometry-optimized Re2BTe2 structure, from the Alexandria database.

Properties
Volume   19.7 Å³ per atom
Density of states at the Fermi level   4.94 states/eV/f.u.
ΔE_f (raw)   1.03 eV per atom
Energy   -32.7 eV for the cell shown

a = 5.422 Å, b = 5.422 Å, c = 5.088 Å
α = 57.81°, β = 57.81°, γ = 90.00°
Site moments in Bohr magnetons follow the coordinates.
Fractional coordinates of all 5 atoms:
Re 0.304 0.304 0.392  0.33
Re 0.696 0.696 0.608  0.33
B 0.000 0.000 0.000  -0.01
Te 0.250 0.750 0.500  -0.01
Te 0.750 0.250 0.500  -0.01